First-principles (PBE+U) data for a geometry-optimized NiP2O structure, as listed in the Alexandria database.

```
8
Lattice="4.746 0.000 0.000 0.000 4.746 0.000 2.373 2.373 4.994" Properties=species:S:1:pos:R:3 pbc="T T T"
O 2.373 2.373 0.000
P 3.543 1.186 1.248
P 5.932 5.916 3.745
Ni 0.000 0.000 0.000
O 2.373 4.746 2.497
P 3.559 3.575 3.745
P 1.202 3.559 1.248
Ni 4.746 2.373 2.497
```

Results
The calculation puts the total energy at -34.3 eV/cell. Its density is 4.0 g/cm³. As for the space group: No. 122. The calculation puts the total magnetization at 0.000 μB per formula unit. The density of states at the Fermi level comes out at 1.01 states/eV/cell.